Entry 1:
Entry from Alexandria: a relaxed structure of TiIrPt2 (PBE).

Calculated values
Fermi-level density of states = 1.02 states/eV/atom
DFT formation energy = -299 meV/atom

abc: 3.800 3.800 18.376
angles: 90.00 90.00 90.00
Space group I-42d (No. 122)
Symmetry-distinct sites (fractional):
Ti1 0.000 0.000 0.000
Ir1 0.000 0.000 0.500
Pt1 0.246 0.250 0.625

=====

Entry 2:
Entry from Alexandria: a relaxed structure of LaZrPb (PBE).

Calculated values
Fermi-level density of states = 1.29 states/eV/atom
DFT formation energy = 660 meV/atom
Excess energy over the best structure of this formula in the dataset = 300 kJ/mol of formula units

abc: 7.489 7.489 7.489
angles: 90.00 90.00 90.00
Space group F-43m (No. 216)
Symmetry-distinct sites (fractional):
La1 0.000 0.000 0.000
Zr1 0.250 0.250 0.250
Pb1 0.250 0.250 0.750

=====

Entry 3:
Entry from Alexandria: a relaxed structure of Er6AgPt5 (PBE).

Calculated values
Fermi-level density of states = 0.59 states/eV/atom
DFT formation energy = -1121 meV/atom

abc: 4.921 6.970 14.762
angles: 90.00 90.00 90.00
Space group Immm (No. 71)
Symmetry-distinct sites (fractional):
Er1 0.000 0.241 0.000
Er2 0.000 0.254 0.330
Ag1 0.000 0.000 0.500
Pt1 0.000 0.000 0.170
Pt2 0.000 0.500 0.158
Pt3 0.000 0.500 0.500

=====

Entry 4:
Entry from Alexandria: a relaxed structure of BaCd2SnC (PBE).

Calculated values
Fermi-level density of states = 1.99 states/eV/atom
DFT formation energy = 1964 meV/atom

abc: 7.001 7.001 6.553
angles: 90.00 90.00 90.00
Space group P4/mmm (No. 123)
Symmetry-distinct sites (fractional):
Ba1 0.000 0.000 0.000
Cd1 0.000 0.500 0.000
Sn1 0.000 0.000 0.500
C1 0.500 0.500 0.500

=====

Entry 5:
Entry from Alexandria: a relaxed structure of CdSbW (PBE).

Calculated values
Fermi-level density of states = 0.57 states/eV/atom
Formation energy (no corrections) = 0.720 eV/atom
Excess energy over the best structure of this formula in the dataset = 40 kJ/mol of formula units

abc: 4.8852 4.8852 2.9420
angles: 90.00 90.00 120.00
Space group P-6m2 (No. 187)
Symmetry-distinct sites (fractional):
Cd1 0.0000 0.0000 0.0000
Sb1 0.6667 0.3333 0.5000
W1 0.3333 0.6667 0.5000

=====

Entry 6:
Entry from Alexandria: a relaxed structure of Re2SiSnF (PBE).

Calculated values
Fermi-level density of states = 0.85 states/eV/atom
Formation energy (no corrections) = 2.321 eV/atom

abc: 5.122 5.122 5.106
angles: 90.00 90.00 90.00
Space group P4/mmm (No. 123)
Symmetry-distinct sites (fractional):
Re1 0.000 0.500 0.000
Si1 0.000 0.000 0.500
Sn1 0.000 0.000 0.000
F1 0.500 0.500 0.500

=====

Entry 7:
Entry from Alexandria: a relaxed structure of AlCuHPt2 (PBE).

Calculated values
Total energy = -5.06 eV/atom
Fermi-level density of states = 0.11 states/eV/atom

abc: 3.986 3.986 3.788
angles: 90.00 90.00 90.00
Space group P4/mmm (No. 123)
Symmetry-distinct sites (fractional):
Al1 0.000 0.000 0.000
Cu1 0.500 0.500 0.000
H1 0.500 0.500 0.500
Pt1 0.000 0.500 0.500

=====

Entry 8:
Entry from Alexandria: a relaxed structure of SrAlCl2 (PBE).

Calculated values
Fermi-level density of states = 0.40 states/eV/atom
Formation energy (no corrections) = -1.024 eV/atom
Excess energy over the best structure of this formula in the dataset = 81 kJ/mol of formula units

abc: 4.892 4.892 4.269
angles: 90.00 90.00 90.00
Space group P4/mmm (No. 123)
Symmetry-distinct sites (fractional):
Sr1 0.000 0.000 0.000
Al1 0.500 0.500 0.000
Cl1 0.000 0.500 0.500

=====

Entry 9:
Entry from Alexandria: a relaxed structure of Li2CdRe (PBE).

Calculated values
Fermi-level density of states = 0.63 states/eV/atom
DFT formation energy = 384 meV/atom

abc: 2.703 4.841 4.961
angles: 90.00 90.00 90.00
Space group Pmmm (No. 47)
Symmetry-distinct sites (fractional):
Li1 0.000 0.000 0.000
Li2 0.500 0.000 0.500
Cd1 0.000 0.500 0.500
Re1 0.500 0.500 0.000

=====

Entry 10:
Entry from Alexandria: a relaxed structure of BaWAu2 (PBE).

Calculated values
Fermi-level density of states = 0.79 states/eV/atom
DFT formation energy = 743 meV/atom
Excess energy over the best structure of this formula in the dataset = 200 kJ/mol of formula units

abc: 3.1208 3.1208 31.0208
angles: 90.00 90.00 120.00
Space group R3m (No. 160, hexagonal axes)
Symmetry-distinct sites (fractional):
Ba1 0.0000 0.0000 0.0000
W1 0.0000 0.0000 0.7639
Au1 0.0000 0.0000 0.2394
Au2 0.0000 0.0000 0.4993

=====

Entry 11:
Entry from Alexandria: a relaxed structure of NdEuPu4 (PBE).

Calculated values
Fermi-level density of states = 5.38 states/eV/atom
DFT formation energy = 295 meV/atom

abc: 9.015 9.015 9.015
angles: 90.00 90.00 90.00
Space group F-43m (No. 216)
Symmetry-distinct sites (fractional):
Nd1 0.000 0.000 0.000
Eu1 0.250 0.250 0.750
Pu1 0.126 0.126 0.374

=====

Entry 12:
Entry from Alexandria: a relaxed structure of V3MoW (PBE).

Calculated values
Fermi-level density of states = 1.66 states/eV/atom
DFT formation energy = 1622 meV/atom
Excess energy over the best structure of this formula in the dataset = 825 kJ/mol of formula units

abc: 4.522 4.522 4.522
angles: 90.00 90.00 90.00
Space group Pm-3m (No. 221)
Symmetry-distinct sites (fractional):
V1 0.000 0.000 0.500
Mo1 0.500 0.500 0.500
W1 0.000 0.000 0.000